## KSiRh (PBE-GGA)

Data for KSiRh after structural relaxation.

Geometry as extended XYZ:
```
3
Lattice="-4.808 4.419 -0.458 -6.538 -0.004 0.325 6.037 -1.207 2.225" Properties=species:S:1:pos:R:3 pbc="T T T"
Si -2.923 1.137 -0.034
K -0.001 0.001 0.000
Rh -8.422 3.277 -0.099
```

ρ: 4.185 g/cm³
space-group type: Imm2, No. 44
M_tot: 0.00 μB/atom
ΔE_f (raw): -0.220 eV/atom
ΔE to the lowest computed polymorph: 26.44 kJ/mol of atoms

=====

## TiAlGaAu (PBE-GGA)

Data for TiAlGaAu after structural relaxation.

Geometry as extended XYZ:
```
4
Lattice="3.868 0.000 0.000 0.000 3.996 0.000 0.000 0.000 4.191" Properties=species:S:1:pos:R:3 pbc="T T T"
Au 1.934 0.000 2.096
Ga 0.000 0.000 0.000
Ti 1.934 1.998 0.000
Al 0.000 1.998 2.096
```

ρ: 8.755 g/cm³
space-group type: Pmmm, No. 47
M_tot: 0.00 μB/atom

=====

## RbBi2Se2 (PBE-GGA)

Data for RbBi2Se2 after structural relaxation.

Geometry as extended XYZ:
```
10
Lattice="-0.335 3.356 -8.705 1.682 -8.546 -3.360 -3.912 -0.720 -0.127" Properties=species:S:1:pos:R:3 pbc="T T T"
Bi -0.796 -5.136 -8.715
Se 0.864 -3.027 -9.437
Bi -0.878 -5.545 -3.864
Se 1.276 -5.948 -5.573
Se 0.071 0.758 -6.491
Se 0.483 -2.163 -2.627
Rb 0.000 0.000 0.000
Bi -1.769 -0.774 -3.476
Bi -1.687 -0.365 -8.327
Rb 0.674 -2.595 -6.032
```

ρ: 6.333 g/cm³
space-group type: P4/mbm, No. 127
M_tot: 0.00 μB/atom
ΔE_f (raw): -0.273 eV/atom
ΔE to the lowest computed polymorph: 12.16 kJ/mol of atoms

=====

## BeFe2Pd2 (PBE-GGA)

Data for BeFe2Pd2 after structural relaxation.

Geometry as extended XYZ:
```
10
Lattice="-0.484 1.112 -7.081 1.787 -6.854 -1.199 -2.688 -0.713 0.072" Properties=species:S:1:pos:R:3 pbc="T T T"
Pd 0.818 -3.748 -6.623
Be 0.651 -2.871 -4.140
Fe -1.322 -0.727 -2.820
Pd 0.485 -1.994 -1.658
Pd -0.008 -0.477 -5.030
Fe -0.299 -4.452 -1.527
Fe -0.063 -5.728 -5.388
Fe -1.086 -2.003 -6.681
Be 0.000 0.000 0.000
Pd 1.311 -5.265 -3.250
```

ρ: 7.714 g/cm³
space-group type: P4/mbm, No. 127
M_tot: 1.27 μB/atom
ΔE to the lowest computed polymorph: 1.13 kJ/mol of atoms

=====

## Li8TlPt2 (PBE-GGA)

Data for Li8TlPt2 after structural relaxation.

Geometry as extended XYZ:
```
11
Lattice="4.673 0.675 0.000 1.161 7.417 0.000 0.581 3.709 5.826" Properties=species:S:1:pos:R:3 pbc="T T T"
Pt 0.581 3.709 2.139
Li 1.380 6.031 1.509
Li 3.498 7.755 2.866
Li 5.035 5.770 4.317
Li 3.999 4.971 0.000
Pt 1.161 7.417 3.687
Tl 2.337 0.338 0.000
Li 1.961 9.740 4.317
Li 4.454 2.062 1.509
Li 1.835 3.122 0.000
Li 2.917 4.046 2.960
```

ρ: 5.469 g/cm³
space-group type: C2/m, No. 12
M_tot: 0.00 μB/atom
ΔE to the lowest computed polymorph: 0.71 kJ/mol of atoms

=====

## TmTlInAu (PBE-GGA)

Data for TmTlInAu after structural relaxation.

Geometry as extended XYZ:
```
4
Lattice="5.094 0.000 0.000 2.547 4.412 0.000 2.547 1.471 4.160" Properties=species:S:1:pos:R:3 pbc="T T T"
Tm 5.094 2.941 2.080
Tl 2.547 1.471 1.040
In 0.000 0.000 0.000
Au 7.642 4.412 3.120
```

ρ: 12.169 g/cm³
space-group type: F-43m, No. 216
M_tot: 0.00 μB/atom

=====

## MnPdS2Cl (PBE-GGA)

Data for MnPdS2Cl after structural relaxation.

Geometry as extended XYZ:
```
5
Lattice="4.733 0.000 0.000 0.000 4.733 0.000 0.000 0.000 4.742" Properties=species:S:1:pos:R:3 pbc="T T T"
Cl 0.000 0.000 2.371
S 2.367 0.000 0.000
Pd 0.000 0.000 0.000
Mn 2.367 2.367 2.371
S 0.000 2.367 0.000
```

ρ: 4.079 g/cm³
space-group type: P4/mmm, No. 123
M_tot: 0.95 μB/atom
ΔE_f (raw): 0.304 eV/atom
ΔE to the lowest computed polymorph: 0.00 kJ/mol of atoms

=====

## Pa2As3Rh (PBE-GGA)

Data for Pa2As3Rh after structural relaxation.

Geometry as extended XYZ:
```
12
Lattice="-0.610 4.409 -3.919 -7.923 0.037 1.274 2.922 1.415 5.624" Properties=species:S:1:pos:R:3 pbc="T T T"
Pa -0.082 3.422 -0.445
Pa -1.542 2.245 2.944
As -2.321 2.470 -1.869
Pa -4.068 3.616 0.035
As -3.801 1.083 1.617
Pa -5.528 2.439 3.425
As -1.809 4.778 1.362
As -6.212 1.976 -0.776
As 0.187 0.875 1.148
Rh -2.065 0.622 -0.226
Rh -6.467 3.824 -2.419
As -5.797 4.986 1.831
```

ρ: 10.157 g/cm³
space-group type: C2/c, No. 15
M_tot: 0.00 μB/atom

=====

Number 1: D(E_F) 1.17 states/eV/cell, calculated total energy -4.84 eV/atom. Number 2: D(E_F) 2.37 states/eV/cell, calculated total energy -4.94 eV/atom. Number 3: D(E_F) 3.02 states/eV/cell, calculated total energy -3.41 eV/atom. Number 4: D(E_F) 5.62 states/eV/cell, calculated total energy -5.93 eV/atom. Number 5: D(E_F) 2.56 states/eV/cell, calculated total energy -2.97 eV/atom. Number 6: D(E_F) 1.43 states/eV/cell, calculated total energy -3.58 eV/atom. Number 7: D(E_F) 3.22 states/eV/cell, calculated total energy -4.59 eV/atom. Number 8: D(E_F) 17.90 states/eV/cell, calculated total energy -7.42 eV/atom.